1.
# FeHgOs2 PBE optimized geometry
data_FeHgOs2
_chemical_formula_sum 'Fe1 Hg1 Os2'
_space_group_name_H-M_alt 'P 1'
_space_group_IT_number 1
_cell_length_a 4.9810
_cell_length_b 4.9810
_cell_length_c 4.7346
_cell_angle_alpha 103.40
_cell_angle_beta 103.40
_cell_angle_gamma 32.40
loop_
_space_group_symop_operation_xyz
'x,y,z'
loop_
_atom_site_label
_atom_site_type_symbol
_atom_site_fract_x
_atom_site_fract_y
_atom_site_fract_z
Fe1 Fe 0.0000 0.0000 0.0000
Hg1 Hg 0.5000 0.5000 0.5000
Os1 Os 0.2751 0.2751 0.7832
Os2 Os 0.7249 0.7249 0.2168
# Volume: 61.1 Å³ per cell
# Energy relative to the elements: 561 meV/atom

2.
# FeHgOs2 PBE optimized geometry
data_FeHgOs2
_chemical_formula_sum 'Fe1 Hg1 Os2'
_space_group_name_H-M_alt 'P 1'
_space_group_IT_number 1
_cell_length_a 2.8073
_cell_length_b 2.8073
_cell_length_c 7.9282
_cell_angle_alpha 90.00
_cell_angle_beta 90.00
_cell_angle_gamma 90.00
loop_
_space_group_symop_operation_xyz
'x,y,z'
loop_
_atom_site_label
_atom_site_type_symbol
_atom_site_fract_x
_atom_site_fract_y
_atom_site_fract_z
Fe1 Fe 0.0000 0.0000 0.0000
Hg1 Hg 0.5000 0.5000 0.2642
Os1 Os 0.0000 0.0000 0.5500
Os2 Os 0.5000 0.5000 0.7622
# Volume: 62.5 Å³ per cell
# Energy relative to the elements: 407 meV/atom

3.
# FeHgOs2 PBE optimized geometry
data_FeHgOs2
_chemical_formula_sum 'Fe1 Hg1 Os2'
_space_group_name_H-M_alt 'P 1'
_space_group_IT_number 1
_cell_length_a 2.7561
_cell_length_b 2.7561
_cell_length_c 9.4156
_cell_angle_alpha 90.00
_cell_angle_beta 90.00
_cell_angle_gamma 118.03
loop_
_space_group_symop_operation_xyz
'x,y,z'
loop_
_atom_site_label
_atom_site_type_symbol
_atom_site_fract_x
_atom_site_fract_y
_atom_site_fract_z
Fe1 Fe 0.0000 0.0000 0.0000
Hg1 Hg 0.5000 0.5000 0.7413
Os1 Os 0.0000 0.0000 0.4606
Os2 Os 0.5000 0.5000 0.2246
# Volume: 63.1 Å³ per cell
# Energy relative to the elements: 698 meV/atom

4.
# FeHg2Os PBE optimized geometry
data_FeHg2Os
_chemical_formula_sum 'Fe1 Hg2 Os1'
_space_group_name_H-M_alt 'P 1'
_space_group_IT_number 1
_cell_length_a 2.8895
_cell_length_b 2.8532
_cell_length_c 8.6208
_cell_angle_alpha 90.00
_cell_angle_beta 99.57
_cell_angle_gamma 90.00
loop_
_space_group_symop_operation_xyz
'x,y,z'
loop_
_atom_site_label
_atom_site_type_symbol
_atom_site_fract_x
_atom_site_fract_y
_atom_site_fract_z
Fe1 Fe 0.0000 0.0000 0.0000
Hg1 Hg 0.2113 0.0000 0.4299
Hg2 Hg 0.3787 0.5000 0.7564
Os1 Os 0.5822 0.5000 0.1652
# Volume: 70.1 Å³ per cell
# Energy relative to the elements: 432 meV/atom
# Energy above the lowest structure with this stoichiometry: 0 meV/atom

5.
# Fe2HgOs PBE optimized geometry
data_Fe2HgOs
_chemical_formula_sum 'Fe4 Hg2 Os2'
_space_group_name_H-M_alt 'P 1'
_space_group_IT_number 1
_cell_length_a 5.5383
_cell_length_b 5.5383
_cell_length_c 5.5383
_cell_angle_alpha 103.91
_cell_angle_beta 103.91
_cell_angle_gamma 121.28
loop_
_space_group_symop_operation_xyz
'x,y,z'
loop_
_atom_site_label
_atom_site_type_symbol
_atom_site_fract_x
_atom_site_fract_y
_atom_site_fract_z
Fe1 Fe 0.0730 0.1250 0.4480
Fe2 Fe 0.3750 0.9270 0.0520
Fe3 Fe 0.6770 0.6250 0.5520
Fe4 Fe 0.8750 0.3230 0.9480
Hg1 Hg 0.2500 0.7500 0.5000
Hg2 Hg 0.5000 0.5000 0.0000
Os1 Os 0.0000 0.0000 0.0000
Os2 Os 0.7500 0.2500 0.5000
# Volume: 126.5 Å³ per cell
# Energy relative to the elements: 1017 meV/atom

6.
# FeHgOs2 PBE optimized geometry
data_FeHgOs2
_chemical_formula_sum 'Fe1 Hg1 Os2'
_space_group_name_H-M_alt 'P 1'
_space_group_IT_number 1
_cell_length_a 2.7894
_cell_length_b 4.2186
_cell_length_c 5.4415
_cell_angle_alpha 90.00
_cell_angle_beta 102.61
_cell_angle_gamma 90.00
loop_
_space_group_symop_operation_xyz
'x,y,z'
loop_
_atom_site_label
_atom_site_type_symbol
_atom_site_fract_x
_atom_site_fract_y
_atom_site_fract_z
Fe1 Fe 0.0000 0.0000 0.0000
Hg1 Hg 0.0000 0.0000 0.5000
Os1 Os 0.3674 0.5000 0.2138
Os2 Os 0.6326 0.5000 0.7862
# Volume: 62.5 Å³ per cell
# Energy relative to the elements: 713 meV/atom

7.
# FeHgOs2 PBE optimized geometry
data_FeHgOs2
_chemical_formula_sum 'Fe1 Hg1 Os2'
_space_group_name_H-M_alt 'P 1'
_space_group_IT_number 1
_cell_length_a 4.4408
_cell_length_b 4.4408
_cell_length_c 4.4408
_cell_angle_alpha 60.00
_cell_angle_beta 60.00
_cell_angle_gamma 60.00
loop_
_space_group_symop_operation_xyz
'x,y,z'
loop_
_atom_site_label
_atom_site_type_symbol
_atom_site_fract_x
_atom_site_fract_y
_atom_site_fract_z
Fe1 Fe 0.0000 0.0000 0.0000
Hg1 Hg 0.2500 0.2500 0.2500
Os1 Os 0.5000 0.5000 0.5000
Os2 Os 0.7500 0.7500 0.7500
# Volume: 61.9 Å³ per cell
# Energy relative to the elements: 851 meV/atom

8.
# Fe2HgOs PBE optimized geometry
data_Fe2HgOs
_chemical_formula_sum 'Fe2 Hg1 Os1'
_space_group_name_H-M_alt 'P 1'
_space_group_IT_number 1
_cell_length_a 2.7211
_cell_length_b 4.0978
_cell_length_c 5.3972
_cell_angle_alpha 90.00
_cell_angle_beta 104.53
_cell_angle_gamma 90.00
loop_
_space_group_symop_operation_xyz
'x,y,z'
loop_
_atom_site_label
_atom_site_type_symbol
_atom_site_fract_x
_atom_site_fract_y
_atom_site_fract_z
Fe1 Fe 0.0000 0.0000 0.0000
Fe2 Fe 0.1232 0.5000 0.2403
Hg1 Hg 0.7461 0.0000 0.4883
Os1 Os 0.4137 0.5000 0.8229
# Volume: 58.3 Å³ per cell
# Energy relative to the elements: 519 meV/atom

9.
# FeHg2Os PBE optimized geometry
data_FeHg2Os
_chemical_formula_sum 'Fe1 Hg2 Os1'
_space_group_name_H-M_alt 'P 1'
_space_group_IT_number 1
_cell_length_a 2.8741
_cell_length_b 2.8741
_cell_length_c 8.3317
_cell_angle_alpha 90.00
_cell_angle_beta 90.00
_cell_angle_gamma 90.00
loop_
_space_group_symop_operation_xyz
'x,y,z'
loop_
_atom_site_label
_atom_site_type_symbol
_atom_site_fract_x
_atom_site_fract_y
_atom_site_fract_z
Fe1 Fe 0.0000 0.0000 0.0000
Hg1 Hg 0.5000 0.5000 0.2429
Hg2 Hg 0.5000 0.5000 0.7571
Os1 Os 0.0000 0.0000 0.5000
# Volume: 68.8 Å³ per cell
# Energy relative to the elements: 825 meV/atom
# Energy above the lowest structure with this stoichiometry: 393 meV/atom

10.
# FeHg2Os PBE optimized geometry
data_FeHg2Os
_chemical_formula_sum 'Fe1 Hg2 Os1'
_space_group_name_H-M_alt 'P 1'
_space_group_IT_number 1
_cell_length_a 4.9725
_cell_length_b 4.9725
_cell_length_c 5.0201
_cell_angle_alpha 100.24
_cell_angle_beta 100.24
_cell_angle_gamma 34.32
loop_
_space_group_symop_operation_xyz
'x,y,z'
loop_
_atom_site_label
_atom_site_type_symbol
_atom_site_fract_x
_atom_site_fract_y
_atom_site_fract_z
Fe1 Fe 0.0000 0.0000 0.0000
Hg1 Hg 0.2514 0.2514 0.7526
Hg2 Hg 0.7486 0.7486 0.2474
Os1 Os 0.5000 0.5000 0.5000
# Volume: 68.8 Å³ per cell
# Energy relative to the elements: 788 meV/atom
# Energy above the lowest structure with this stoichiometry: 356 meV/atom

11.
# FeHg2Os PBE optimized geometry
data_FeHg2Os
_chemical_formula_sum 'Fe1 Hg2 Os1'
_space_group_name_H-M_alt 'P 1'
_space_group_IT_number 1
_cell_length_a 4.9989
_cell_length_b 4.9989
_cell_length_c 2.9358
_cell_angle_alpha 90.00
_cell_angle_beta 90.00
_cell_angle_gamma 110.27
loop_
_space_group_symop_operation_xyz
'x,y,z'
loop_
_atom_site_label
_atom_site_type_symbol
_atom_site_fract_x
_atom_site_fract_y
_atom_site_fract_z
Fe1 Fe 0.0000 0.0000 0.0000
Hg1 Hg 0.0000 0.5000 0.5000
Hg2 Hg 0.5000 0.0000 0.5000
Os1 Os 0.5000 0.5000 0.0000
# Volume: 68.8 Å³ per cell
# Energy relative to the elements: 804 meV/atom
# Energy above the lowest structure with this stoichiometry: 372 meV/atom

12.
# Fe2HgOs PBE optimized geometry
data_Fe2HgOs
_chemical_formula_sum 'Fe2 Hg1 Os1'
_space_group_name_H-M_alt 'P 1'
_space_group_IT_number 1
_cell_length_a 2.7221
_cell_length_b 2.7221
_cell_length_c 9.0058
_cell_angle_alpha 90.00
_cell_angle_beta 90.00
_cell_angle_gamma 114.98
loop_
_space_group_symop_operation_xyz
'x,y,z'
loop_
_atom_site_label
_atom_site_type_symbol
_atom_site_fract_x
_atom_site_fract_y
_atom_site_fract_z
Fe1 Fe 0.0000 0.0000 0.0000
Fe2 Fe 0.5000 0.5000 0.2121
Hg1 Hg 0.0000 0.0000 0.4810
Os1 Os 0.5000 0.5000 0.7720
# Volume: 60.5 Å³ per cell
# Energy relative to the elements: 523 meV/atom

- What is the volume in the fifth record?
  126.5 Å³ per cell

- Which of these has the highest energy relative to the elements?
  number 5

- What is the energy relative to the elements in the fourth record?
  432 meV/atom

- Look up the volume of the fourth one.
  70.1 Å³ per cell